## La15Y4Sc (PBE)

Data for La15Y4Sc after structural relaxation.

Results
DOS(E_F) in states/eV/cell: 25.202
Electronic total energy in eV per atom: -5.29
Formation enthalpy at 0 K in eV per atom: 0.012

abc: 5.1957 5.1957 25.9893
angles: 90.00 90.00 90.00
Last column: nearest neighbours and their distance in Å.
Fractional coordinates of all 20 atoms:
La (0.0000, 0.0000, 0.0000)  8 La 3.62, 4 Sc 3.67
La (0.0000, 0.0000, 0.1979)  4 Y 3.67, 8 La 3.69
La (0.0000, 0.0000, 0.3994)  4 Y 3.67, 8 La 3.69
La (0.0000, 0.0000, 0.6006)  4 Y 3.67, 8 La 3.69
La (0.0000, 0.0000, 0.8021)  4 Y 3.67, 8 La 3.69
La (0.0000, 0.5000, 0.0969)  8 La 3.62-3.69, 2 Sc 3.62, 2 Y 3.69
La (0.0000, 0.5000, 0.2985)  8 La 3.67-3.69, 4 Y 3.69
La (0.0000, 0.5000, 0.5000)  8 La 3.67-3.69, 4 Y 3.69
La (0.0000, 0.5000, 0.7015)  8 La 3.67-3.69, 4 Y 3.69
La (0.0000, 0.5000, 0.9031)  8 La 3.62-3.69, 2 Sc 3.62, 2 Y 3.69
La (0.5000, 0.0000, 0.0969)  8 La 3.62-3.69, 2 Sc 3.62, 2 Y 3.69
La (0.5000, 0.0000, 0.2985)  8 La 3.67-3.69, 4 Y 3.69
La (0.5000, 0.0000, 0.5000)  8 La 3.67-3.69, 4 Y 3.69
La (0.5000, 0.0000, 0.7015)  8 La 3.67-3.69, 4 Y 3.69
La (0.5000, 0.0000, 0.9031)  8 La 3.62-3.69, 2 Sc 3.62, 2 Y 3.69
Y (0.5000, 0.5000, 0.1976)  12 La 3.67-3.69
Y (0.5000, 0.5000, 0.3994)  12 La 3.67-3.69
Y (0.5000, 0.5000, 0.6006)  12 La 3.67-3.69
Y (0.5000, 0.5000, 0.8024)  12 La 3.67-3.69
Sc (0.5000, 0.5000, 0.0000)  12 La 3.62-3.67